YBeAs | PBE | optimized geometry

a = 5.8200 Å, b = 5.4683 Å, c = 3.4727 Å
α = 77.70°, β = 66.64°, γ = 35.66°
Closest atoms and distances in Å follow each position.
Fractional coordinates of all 3 atoms:
Y  0.0000  0.0000  0.0000  3 Be 2.85-3.07, 3 As 2.87-3.04
Be  0.3019  0.3019  0.6981  2 As 2.26
As  0.7007  0.7007  0.2993  2 Be 2.26

Summary:
Its formation energy from the elements is -0.35 eV/atom. The value obtained for the total DFT energy (no corrections) is -15.88 eV per cell. As for the symmetry: Fmm2, No. 42. The calculation puts the magnetization at 0.0 μB per formula unit. The calculation puts the density of states at the Fermi level at 1.1 states/eV per cell. Its calculated density is 4956 kg/m3.

***

YBe2As | PBE | optimized geometry

a = 3.8447 Å, b = 4.1588 Å, c = 4.3690 Å
α = 90.00°, β = 90.00°, γ = 90.00°
Closest atoms and distances in Å follow each position.
Fractional coordinates of all 4 atoms:
Y  0.0000  0.0000  0.0000  8 Be 3.00, 4 As 3.02
Be  0.5000  0.5000  0.2281  1 Be 1.99
Be  0.5000  0.5000  0.7719  1 Be 1.99
As  0.0000  0.5000  0.5000  4 Be 2.26

Summary:
Its formation energy from the elements is -0.27 eV/atom. The value obtained for the total DFT energy (no corrections) is -19.65 eV per cell. As for the symmetry: Pmmm, No. 47. The calculation puts the magnetization at 0.0 μB per formula unit. The calculation puts the density of states at the Fermi level at 1.8 states/eV per cell. Its calculated density is 4323 kg/m3.

***

Y2BeAs | PBE | optimized geometry

a = 3.4968 Å, b = 3.4968 Å, c = 7.9174 Å
α = 90.00°, β = 90.00°, γ = 108.63°
Closest atoms and distances in Å follow each position.
Fractional coordinates of all 4 atoms:
Y  0.0000  0.0000  0.0000  2 Be 2.87, 1 As 3.02
Y  0.5000  0.5000  0.3649  2 As 2.86, 1 Be 3.01
Be  0.5000  0.5000  0.7452  2 As 2.27
As  0.0000  0.0000  0.6184  2 Be 2.27

Summary:
Its formation energy from the elements is -0.24 eV/atom. The value obtained for the total DFT energy (no corrections) is -22.26 eV per cell. As for the symmetry: Cmm2, No. 35. The calculation puts the magnetization at 0.0 μB per formula unit. The calculation puts the density of states at the Fermi level at 3.0 states/eV per cell. Its calculated density is 4738 kg/m3.

***

YBeAs | PBE | optimized geometry

a = 4.6209 Å, b = 4.6209 Å, c = 4.6209 Å
α = 60.00°, β = 60.00°, γ = 60.00°
Closest atoms and distances in Å follow each position.
Fractional coordinates of all 3 atoms:
Y  0.0000  0.0000  0.0000  4 As 2.83, 4 Be 2.83
Be  0.2500  0.2500  0.2500  4 Y 2.83
As  0.7500  0.7500  0.7500  4 Y 2.83

Summary:
Its formation energy from the elements is 0.04 eV/atom. The value obtained for the total DFT energy (no corrections) is -14.72 eV per cell. As for the symmetry: F-43m, No. 216. The calculation puts the magnetization at 0.0 μB per formula unit. The calculation puts the density of states at the Fermi level at 1.3 states/eV per cell. Its calculated density is 4114 kg/m3.

***

YBeAs2 | PBE | optimized geometry

a = 3.9167 Å, b = 4.0000 Å, c = 5.9068 Å
α = 90.00°, β = 108.63°, γ = 90.00°
Closest atoms and distances in Å follow each position.
Fractional coordinates of all 4 atoms:
Y  0.0000  0.0000  0.0000  6 As 2.85-3.10, 2 Be 3.18
Be  0.3339  0.5000  0.7092  3 As 2.21-2.25
As  0.2201  0.0000  0.5407  2 Be 2.21
As  0.5583  0.5000  0.1112  1 Be 2.25

Summary:
Its formation energy from the elements is -0.52 eV/atom. The value obtained for the total DFT energy (no corrections) is -21.56 eV per cell. As for the symmetry: Pm, No. 6. The calculation puts the magnetization at 0.0 μB per formula unit. The calculation puts the density of states at the Fermi level at 1.5 states/eV per cell. Its calculated density is 4692 kg/m3.

***

YBeAs2 | PBE | optimized geometry

a = 5.2306 Å, b = 5.2306 Å, c = 5.2306 Å
α = 133.28°, β = 132.89°, γ = 68.52°
Closest atoms and distances in Å follow each position.
Fractional coordinates of all 4 atoms:
Y  0.0000  0.0000  0.0000  4 Be 2.94, 8 As 3.00
Be  0.5000  0.5000  0.0000  4 Y 2.94, 8 As 2.99-3.01
As  0.2506  0.7506  0.5000  4 As 2.94, 4 Be 2.99-3.01, 4 Y 3.00
As  0.7494  0.2494  0.5000  4 As 2.94, 4 Be 2.99-3.01, 4 Y 3.00

Summary:
Its formation energy from the elements is -0.22 eV/atom. The value obtained for the total DFT energy (no corrections) is -20.36 eV per cell. As for the symmetry: Immm, No. 71. The calculation puts the magnetization at 0.0 μB per formula unit. The calculation puts the density of states at the Fermi level at 1.6 states/eV per cell. Its calculated density is 5488 kg/m3.

***

YBe3As | PBE | optimized geometry

a = 4.9108 Å, b = 4.9108 Å, c = 4.9108 Å
α = 90.00°, β = 90.00°, γ = 90.00°
Closest atoms and distances in Å follow each position.
Fractional coordinates of all 5 atoms:
Y  0.0000  0.0000  0.0000  6 Be 2.46
Be  0.0000  0.0000  0.5000  2 Y 2.46
Be  0.0000  0.5000  0.0000  2 Y 2.46
Be  0.5000  0.0000  0.0000  2 Y 2.46
As  0.5000  0.5000  0.5000  12 Be 3.47

Summary:
Its formation energy from the elements is 1.96 eV/atom. The value obtained for the total DFT energy (no corrections) is -12.48 eV per cell. As for the symmetry: Pm-3m, No. 221. The calculation puts the magnetization at 0.5 μB per formula unit. The calculation puts the density of states at the Fermi level at 4.4 states/eV per cell. Its calculated density is 2676 kg/m3.

***

YBe4As | PBE | optimized geometry

a = 4.8942 Å, b = 4.8942 Å, c = 4.8942 Å
α = 60.00°, β = 60.00°, γ = 60.00°
Closest atoms and distances in Å follow each position.
Fractional coordinates of all 6 atoms:
Y  0.0000  0.0000  0.0000  12 Be 2.86, 4 As 3.00
Be  0.3701  0.3701  0.3701  6 Be 2.35-2.54
Be  0.3701  0.3701  0.8897  6 Be 2.35-2.54
Be  0.3701  0.8897  0.3701  6 Be 2.35-2.54
Be  0.8897  0.3701  0.3701  6 Be 2.35-2.54
As  0.7500  0.7500  0.7500  12 Be 2.88, 4 Y 3.00

Summary:
Its formation energy from the elements is 0.27 eV/atom. The value obtained for the total DFT energy (no corrections) is -24.42 eV per cell. As for the symmetry: F-43m, No. 216. The calculation puts the magnetization at 0.0 μB per formula unit. The calculation puts the density of states at the Fermi level at 4.3 states/eV per cell. Its calculated density is 4004 kg/m3.

***

YBeAs2 | PBE | optimized geometry

a = 5.8792 Å, b = 5.8792 Å, c = 5.8792 Å
α = 109.18°, β = 109.18°, γ = 110.06°
Closest atoms and distances in Å follow each position.
Fractional coordinates of all 8 atoms:
Y  0.0000  0.0000  0.0000  4 As 2.92
Y  0.7500  0.2500  0.5000  4 As 2.92
Be  0.2500  0.7500  0.5000  4 As 2.24
Be  0.5000  0.5000  0.0000  4 As 2.24
As  0.2005  0.6250  0.0755  2 Be 2.24
As  0.3750  0.4505  0.5755  2 Be 2.24
As  0.5495  0.1250  0.9245  2 Be 2.24
As  0.8750  0.7995  0.4245  2 Be 2.24

Summary:
Its formation energy from the elements is -0.63 eV/atom. The value obtained for the total DFT energy (no corrections) is -44.05 eV per cell. As for the symmetry: I-42d, No. 122. The calculation puts the magnetization at 0.0 μB per formula unit. The calculation puts the density of states at the Fermi level at 1.2 states/eV per cell. Its calculated density is 5260 kg/m3.

***

Y2BeAs | PBE | optimized geometry

a = 3.3974 Å, b = 3.3974 Å, c = 7.7044 Å
α = 90.00°, β = 90.00°, γ = 90.00°
Closest atoms and distances in Å follow each position.
Fractional coordinates of all 4 atoms:
Y  0.0000  0.0000  0.0000  1 As 2.88, 4 Be 3.11
Y  0.5000  0.5000  0.3642  1 Be 2.92, 4 As 3.14
Be  0.5000  0.5000  0.7430  4 As 2.56
As  0.0000  0.0000  0.6265  4 Be 2.56

Summary:
Its formation energy from the elements is -0.18 eV/atom. The value obtained for the total DFT energy (no corrections) is -22.04 eV per cell. As for the symmetry: P4mm, No. 99. The calculation puts the magnetization at 0.0 μB per formula unit. The calculation puts the density of states at the Fermi level at 3.6 states/eV per cell. Its calculated density is 4888 kg/m3.

***

YBeAs2 | PBE | optimized geometry

a = 5.6744 Å, b = 5.6744 Å, c = 5.6744 Å
α = 141.46°, β = 137.57°, γ = 58.65°
Closest atoms and distances in Å follow each position.
Fractional coordinates of all 4 atoms:
Y  0.0000  0.0000  0.0000  6 As 2.80-3.07, 2 Be 3.04
Be  0.7272  0.2272  0.5000  6 As 2.68-2.81
As  0.2695  0.7695  0.5000  4 Be 2.81, 2 Y 3.07, 2 As 3.11
As  0.5332  0.5332  0.0000  2 Be 2.68, 4 Y 2.80

Summary:
Its formation energy from the elements is -0.31 eV/atom. The value obtained for the total DFT energy (no corrections) is -20.75 eV per cell. As for the symmetry: Imm2, No. 44. The calculation puts the magnetization at 0.0 μB per formula unit. The calculation puts the density of states at the Fermi level at 2.1 states/eV per cell. Its calculated density is 5406 kg/m3.

***

Y2BeAs | PBE | optimized geometry

a = 4.0818 Å, b = 4.0818 Å, c = 5.7656 Å
α = 90.00°, β = 90.00°, γ = 90.00°
Closest atoms and distances in Å follow each position.
Fractional coordinates of all 4 atoms:
Y  0.0000  0.0000  0.0000  2 Be 2.88, 4 As 2.89
Y  0.5000  0.5000  0.5000  2 As 2.88, 4 Be 2.89
Be  0.0000  0.0000  0.5000  6 Y 2.88-2.89
As  0.5000  0.5000  0.0000  6 Y 2.88-2.89

Summary:
Its formation energy from the elements is -0.48 eV/atom. The value obtained for the total DFT energy (no corrections) is -23.23 eV per cell. As for the symmetry: P4/mmm, No. 123. The calculation puts the magnetization at 0.0 μB per formula unit. The calculation puts the density of states at the Fermi level at 4.6 states/eV per cell. Its calculated density is 4525 kg/m3.